This record from the Alexandria database describes a geometry-optimized Ac5Ga2Ag2 structure. The functional is PBE-GGA.

Calculated values
Energy relative to the elements (meV per atom): -312

Cell and atoms, written as CIF:
```
data_Ac5Ga2Ag2
_symmetry_space_group_name_H-M 'C m c e'
_symmetry_Int_Tables_number 64
_symmetry_space_group_name_Hall '-C 2ac 2'
_cell_length_a 17.630
_cell_length_b 8.409
_cell_length_c 8.084
_cell_angle_alpha 90.00
_cell_angle_beta 90.00
_cell_angle_gamma 90.00
loop_
_atom_site_label
_atom_site_fract_x
_atom_site_fract_y
_atom_site_fract_z
_atom_site_occupancy
Ac1 0.000 0.000 0.000 1
Ac2 0.139 0.181 0.327 1
Ga1 0.000 0.116 0.610 1
Ag1 0.212 0.000 0.000 1
```

=====

This record from the Alexandria database describes a geometry-optimized Co2AgTe structure. The functional is PBE-GGA.

Calculated values
Formation energy from raw total energies (kcal/mol of atoms): 10.7

Cell and atoms, written as CIF:
```
data_Co2AgTe
_symmetry_space_group_name_H-M 'I -4 m 2'
_symmetry_Int_Tables_number 119
_symmetry_space_group_name_Hall 'I -4 -2'
_cell_length_a 3.857
_cell_length_b 3.857
_cell_length_c 8.441
_cell_angle_alpha 90.00
_cell_angle_beta 90.00
_cell_angle_gamma 90.00
loop_
_atom_site_label
_atom_site_fract_x
_atom_site_fract_y
_atom_site_fract_z
_atom_site_occupancy
Co1 0.000 0.000 0.000 1
Co2 0.000 0.500 0.250 1
Ag1 0.000 0.000 0.500 1
Te1 0.000 0.500 0.750 1
```

=====

This record from the Alexandria database describes a geometry-optimized KNa2FeTe structure. The functional is PBE-GGA.

Calculated values
Formation energy from raw total energies (kcal/mol of atoms): 10.7

Cell and atoms, written as CIF:
```
data_KNa2FeTe
_symmetry_space_group_name_H-M 'P 4/m m m'
_symmetry_Int_Tables_number 123
_symmetry_space_group_name_Hall '-P 4 2'
_cell_length_a 5.529
_cell_length_b 5.529
_cell_length_c 5.936
_cell_angle_alpha 90.00
_cell_angle_beta 90.00
_cell_angle_gamma 90.00
loop_
_atom_site_label
_atom_site_fract_x
_atom_site_fract_y
_atom_site_fract_z
_atom_site_occupancy
K1 0.000 0.000 0.000 1
Na1 0.000 0.500 0.500 1
Fe1 0.000 0.000 0.500 1
Te1 0.500 0.500 0.000 1
```

=====

This record from the Alexandria database describes a geometry-optimized TbTm6Sc2 structure. The functional is PBE-GGA.

Calculated values
Energy relative to the elements (meV per atom): 111

Cell and atoms, written as CIF:
```
data_TbTm6Sc2
_symmetry_space_group_name_H-M 'C 1 2/c 1'
_symmetry_Int_Tables_number 15
_symmetry_space_group_name_Hall '-C 2yc'
_cell_length_a 12.339
_cell_length_b 13.947
_cell_length_c 6.302
_cell_angle_alpha 90.00
_cell_angle_beta 103.41
_cell_angle_gamma 90.00
loop_
_atom_site_label
_atom_site_fract_x
_atom_site_fract_y
_atom_site_fract_z
_atom_site_occupancy
Tb1 0.000 0.118 0.250 1
Tm1 0.042 0.317 0.009 1
Tm2 0.143 0.087 0.809 1
Tm3 0.236 0.308 0.717 1
Sc1 0.134 0.480 0.362 1
```

=====

This record from the Alexandria database describes a geometry-optimized NaV3As structure. The functional is PBE-GGA.

Calculated values
Energy relative to the elements (meV per atom): 2047

Cell and atoms, written as CIF:
```
data_NaV3As
_symmetry_space_group_name_H-M 'P m -3 m'
_symmetry_Int_Tables_number 221
_symmetry_space_group_name_Hall '-P 4 2 3'
_cell_length_a 4.417
_cell_length_b 4.417
_cell_length_c 4.417
_cell_angle_alpha 90.00
_cell_angle_beta 90.00
_cell_angle_gamma 90.00
loop_
_atom_site_label
_atom_site_fract_x
_atom_site_fract_y
_atom_site_fract_z
_atom_site_occupancy
Na1 0.000 0.000 0.000 1
V1 0.000 0.000 0.500 1
As1 0.500 0.500 0.500 1
```

=====

This record from the Alexandria database describes a geometry-optimized Tb2GaP structure. The functional is PBE-GGA.

Calculated values
Energy relative to the elements (meV per atom): -931

Cell and atoms, written as CIF:
```
data_Tb2GaP
_symmetry_space_group_name_H-M 'R 3 m'
_symmetry_Int_Tables_number 160
_symmetry_space_group_name_Hall 'R 3 -2"'
_cell_length_a 3.8871
_cell_length_b 3.8871
_cell_length_c 22.9523
_cell_angle_alpha 90.00
_cell_angle_beta 90.00
_cell_angle_gamma 120.00
loop_
_atom_site_label
_atom_site_fract_x
_atom_site_fract_y
_atom_site_fract_z
_atom_site_occupancy
Tb1 0.0000 0.0000 0.0000 1
Tb2 0.0000 0.0000 0.1906 1
Ga1 0.0000 0.0000 0.7621 1
P1 0.0000 0.0000 0.5941 1
```

=====

This record from the Alexandria database describes a geometry-optimized ReSiPb structure. The functional is PBE-GGA.

Calculated values
Formation energy from raw total energies (kcal/mol of atoms): 9.9

Cell and atoms, written as CIF:
```
data_ReSiPb
_symmetry_space_group_name_H-M 'I 4 m m'
_symmetry_Int_Tables_number 107
_symmetry_space_group_name_Hall 'I 4 -2'
_cell_length_a 3.286
_cell_length_b 3.286
_cell_length_c 10.384
_cell_angle_alpha 90.00
_cell_angle_beta 90.00
_cell_angle_gamma 90.00
loop_
_atom_site_label
_atom_site_fract_x
_atom_site_fract_y
_atom_site_fract_z
_atom_site_occupancy
Re1 0.000 0.000 0.000 1
Si1 0.000 0.000 0.412 1
Pb1 0.000 0.000 0.702 1
```

=====

This record from the Alexandria database describes a geometry-optimized BaMg6Sb structure. The functional is PBE-GGA.

Calculated values
Formation energy from raw total energies (kcal/mol of atoms): -1.8

Cell and atoms, written as CIF:
```
data_BaMg6Sb
_symmetry_space_group_name_H-M 'A m m 2'
_symmetry_Int_Tables_number 38
_symmetry_space_group_name_Hall 'A 2 -2'
_cell_length_a 5.098
_cell_length_b 6.102
_cell_length_c 15.695
_cell_angle_alpha 90.00
_cell_angle_beta 90.00
_cell_angle_gamma 90.00
loop_
_atom_site_label
_atom_site_fract_x
_atom_site_fract_y
_atom_site_fract_z
_atom_site_occupancy
Ba1 0.000 0.000 0.000 1
Mg1 0.000 0.248 0.727 1
Mg2 0.500 0.000 0.169 1
Mg3 0.500 0.000 0.653 1
Mg4 0.500 0.242 0.849 1
Sb1 0.000 0.000 0.393 1
```

=====

This record from the Alexandria database describes a geometry-optimized AgMo2As structure. The functional is PBE-GGA.

Calculated values
Energy relative to the elements (meV per atom): 304

Cell and atoms, written as CIF:
```
data_AgMo2As
_symmetry_space_group_name_H-M 'P 4/m m m'
_symmetry_Int_Tables_number 123
_symmetry_space_group_name_Hall '-P 4 2'
_cell_length_a 3.098
_cell_length_b 3.098
_cell_length_c 6.726
_cell_angle_alpha 90.00
_cell_angle_beta 90.00
_cell_angle_gamma 90.00
loop_
_atom_site_label
_atom_site_fract_x
_atom_site_fract_y
_atom_site_fract_z
_atom_site_occupancy
Ag1 0.000 0.000 0.000 1
Mo1 0.500 0.500 0.289 1
As1 0.000 0.000 0.500 1
```

=====

This record from the Alexandria database describes a geometry-optimized RbTiTc2 structure. The functional is PBE-GGA.

Calculated values
Energy relative to the elements (meV per atom): 1405

Cell and atoms, written as CIF:
```
data_RbTiTc2
_symmetry_space_group_name_H-M 'I -4 2 d'
_symmetry_Int_Tables_number 122
_symmetry_space_group_name_Hall 'I -4 2bw'
_cell_length_a 4.935
_cell_length_b 4.935
_cell_length_c 17.272
_cell_angle_alpha 90.00
_cell_angle_beta 90.00
_cell_angle_gamma 90.00
loop_
_atom_site_label
_atom_site_fract_x
_atom_site_fract_y
_atom_site_fract_z
_atom_site_occupancy
Rb1 0.000 0.000 0.000 1
Ti1 0.000 0.000 0.500 1
Tc1 0.040 0.750 0.625 1
```

=====

This record from the Alexandria database describes a geometry-optimized PrMgAg structure. The functional is PBE-GGA.

Calculated values
Energy relative to the elements (meV per atom): -74

Cell and atoms, written as CIF:
```
data_PrMgAg
_symmetry_space_group_name_H-M 'F -4 3 m'
_symmetry_Int_Tables_number 216
_symmetry_space_group_name_Hall 'F -4 2 3'
_cell_length_a 7.027
_cell_length_b 7.027
_cell_length_c 7.027
_cell_angle_alpha 90.00
_cell_angle_beta 90.00
_cell_angle_gamma 90.00
loop_
_atom_site_label
_atom_site_fract_x
_atom_site_fract_y
_atom_site_fract_z
_atom_site_occupancy
Pr1 0.000 0.000 0.000 1
Mg1 0.000 0.000 0.500 1
Ag1 0.250 0.250 0.750 1
```

=====

This record from the Alexandria database describes a geometry-optimized AcPm3Pb4 structure. The functional is PBE-GGA.

Calculated values
Energy relative to the elements (meV per atom): -434

Cell and atoms, written as CIF:
```
data_AcPm3Pb4
_symmetry_space_group_name_H-M 'C m m m'
_symmetry_Int_Tables_number 65
_symmetry_space_group_name_Hall '-C 2 2'
_cell_length_a 7.793
_cell_length_b 13.123
_cell_length_c 5.371
_cell_angle_alpha 90.00
_cell_angle_beta 90.00
_cell_angle_gamma 90.00
loop_
_atom_site_label
_atom_site_fract_x
_atom_site_fract_y
_atom_site_fract_z
_atom_site_occupancy
Ac1 0.000 0.000 0.000 1
Pm1 0.000 0.500 0.000 1
Pm2 0.250 0.250 0.500 1
Pb1 0.000 0.258 0.000 1
Pb2 0.227 0.500 0.500 1
```

=====

This record from the Alexandria database describes a geometry-optimized TbNdScZn structure. The functional is PBE-GGA.

Calculated values
Energy relative to the elements (meV per atom): -10

Cell and atoms, written as CIF:
```
data_TbNdScZn
_symmetry_space_group_name_H-M 'F -4 3 m'
_symmetry_Int_Tables_number 216
_symmetry_space_group_name_Hall 'F -4 2 3'
_cell_length_a 7.475
_cell_length_b 7.475
_cell_length_c 7.475
_cell_angle_alpha 90.00
_cell_angle_beta 90.00
_cell_angle_gamma 90.00
loop_
_atom_site_label
_atom_site_fract_x
_atom_site_fract_y
_atom_site_fract_z
_atom_site_occupancy
Tb1 0.000 0.000 0.000 1
Nd1 0.000 0.000 0.500 1
Sc1 0.250 0.250 0.250 1
Zn1 0.250 0.250 0.750 1
```

=====

This record from the Alexandria database describes a geometry-optimized FeHgPH structure. The functional is PBE-GGA.

Calculated values
Energy (eV/atom): -4.27

Cell and atoms, written as CIF:
```
data_FeHgPH
_symmetry_space_group_name_H-M 'P 1'
_symmetry_Int_Tables_number 1
_symmetry_space_group_name_Hall 'P 1'
_cell_length_a 3.554
_cell_length_b 3.576
_cell_length_c 5.264
_cell_angle_alpha 98.36
_cell_angle_beta 96.33
_cell_angle_gamma 111.75
loop_
_atom_site_label
_atom_site_fract_x
_atom_site_fract_y
_atom_site_fract_z
_atom_site_occupancy
Fe1 0.000 0.000 0.000 1
Hg1 0.062 0.062 0.498 1
P1 0.650 0.361 0.024 1
H1 0.744 0.698 0.740 1
```

=====

This record from the Alexandria database describes a geometry-optimized Th4Tc2Au structure. The functional is PBE-GGA.

Calculated values
Energy relative to the elements (meV per atom): -260

Cell and atoms, written as CIF:
```
data_Th4Tc2Au
_symmetry_space_group_name_H-M 'C 1 m 1'
_symmetry_Int_Tables_number 8
_symmetry_space_group_name_Hall 'C -2y'
_cell_length_a 12.181
_cell_length_b 8.740
_cell_length_c 7.702
_cell_angle_alpha 90.00
_cell_angle_beta 111.21
_cell_angle_gamma 90.00
loop_
_atom_site_label
_atom_site_fract_x
_atom_site_fract_y
_atom_site_fract_z
_atom_site_occupancy
Th1 0.000 0.000 0.000 1
Th2 0.001 0.000 0.478 1
Th3 0.002 0.500 0.477 1
Th4 0.013 0.500 0.005 1
Th5 0.266 0.285 0.613 1
Th6 0.280 0.263 0.119 1
Tc1 0.042 0.251 0.258 1
Tc2 0.214 0.500 0.843 1
Tc3 0.235 0.500 0.338 1
Au1 0.228 0.000 0.831 1
Au2 0.232 0.000 0.361 1
```

=====

This record from the Alexandria database describes a geometry-optimized RbBaTl structure. The functional is PBE-GGA.

Calculated values
Energy relative to the elements (meV per atom): 40

Cell and atoms, written as CIF:
```
data_RbBaTl
_symmetry_space_group_name_H-M 'P 3 m 1'
_symmetry_Int_Tables_number 156
_symmetry_space_group_name_Hall 'P 3 -2"'
_cell_length_a 6.2438
_cell_length_b 6.2438
_cell_length_c 4.1002
_cell_angle_alpha 90.00
_cell_angle_beta 90.00
_cell_angle_gamma 120.00
loop_
_atom_site_label
_atom_site_fract_x
_atom_site_fract_y
_atom_site_fract_z
_atom_site_occupancy
Rb1 0.0000 0.0000 0.0000 1
Ba1 0.3333 0.6667 0.6510 1
Tl1 0.6667 0.3333 0.2726 1
```

=====

This record from the Alexandria database describes a geometry-optimized Sr2TlZnIr structure. The functional is PBE-GGA.

Calculated values
Energy relative to the elements (meV per atom): -121

Cell and atoms, written as CIF:
```
data_Sr2TlZnIr
_symmetry_space_group_name_H-M 'P 4/m m m'
_symmetry_Int_Tables_number 123
_symmetry_space_group_name_Hall '-P 4 2'
_cell_length_a 5.807
_cell_length_b 5.807
_cell_length_c 4.881
_cell_angle_alpha 90.00
_cell_angle_beta 90.00
_cell_angle_gamma 90.00
loop_
_atom_site_label
_atom_site_fract_x
_atom_site_fract_y
_atom_site_fract_z
_atom_site_occupancy
Sr1 0.000 0.500 0.000 1
Tl1 0.000 0.000 0.500 1
Zn1 0.500 0.500 0.500 1
Ir1 0.500 0.500 0.000 1
```

=====

This record from the Alexandria database describes a geometry-optimized LiPmYGe structure. The functional is PBE-GGA.

Calculated values
Energy relative to the elements (meV per atom): -437

Cell and atoms, written as CIF:
```
data_LiPmYGe
_symmetry_space_group_name_H-M 'F -4 3 m'
_symmetry_Int_Tables_number 216
_symmetry_space_group_name_Hall 'F -4 2 3'
_cell_length_a 7.203
_cell_length_b 7.203
_cell_length_c 7.203
_cell_angle_alpha 90.00
_cell_angle_beta 90.00
_cell_angle_gamma 90.00
loop_
_atom_site_label
_atom_site_fract_x
_atom_site_fract_y
_atom_site_fract_z
_atom_site_occupancy
Li1 0.000 0.000 0.000 1
Pm1 0.250 0.250 0.750 1
Y1 0.250 0.250 0.250 1
Ge1 0.000 0.000 0.500 1
```

=====

This record from the Alexandria database describes a geometry-optimized MnBr structure. The functional is PBE-GGA.

Calculated values
Formation energy from raw total energies (kcal/mol of atoms): 2.5

Cell and atoms, written as CIF:
```
data_MnBr
_symmetry_space_group_name_H-M 'I m m a'
_symmetry_Int_Tables_number 74
_symmetry_space_group_name_Hall '-I 2b 2'
_cell_length_a 3.418
_cell_length_b 7.465
_cell_length_c 9.578
_cell_angle_alpha 90.00
_cell_angle_beta 90.00
_cell_angle_gamma 90.00
loop_
_atom_site_label
_atom_site_fract_x
_atom_site_fract_y
_atom_site_fract_z
_atom_site_occupancy
Mn1 0.000 0.250 0.131 1
Br1 0.000 0.250 0.563 1
```

=====

This record from the Alexandria database describes a geometry-optimized SiSnP2O structure. The functional is PBE-GGA.

Calculated values
Formation energy from raw total energies (kcal/mol of atoms): 14.7

Cell and atoms, written as CIF:
```
data_SiSnP2O
_symmetry_space_group_name_H-M 'P 4/m m m'
_symmetry_Int_Tables_number 123
_symmetry_space_group_name_Hall '-P 4 2'
_cell_length_a 5.092
_cell_length_b 5.092
_cell_length_c 3.913
_cell_angle_alpha 90.00
_cell_angle_beta 90.00
_cell_angle_gamma 90.00
loop_
_atom_site_label
_atom_site_fract_x
_atom_site_fract_y
_atom_site_fract_z
_atom_site_occupancy
Si1 0.000 0.000 0.000 1
Sn1 0.500 0.500 0.500 1
P1 0.000 0.500 0.500 1
O1 0.500 0.500 0.000 1
```